# NbP2PbCl (PBE, relaxed)
data_NbP2PbCl
_cell_length_a 5.0019
_cell_length_b 5.0019
_cell_length_c 5.0066
_cell_angle_alpha 90.00
_cell_angle_beta 90.00
_cell_angle_gamma 90.00
_space_group_name_H-M_alt 'P 4/m m m'
_space_group_IT_number 123
_space_group_name_Hall '-P 4 2'
loop_
_atom_site_label
_atom_site_type_symbol
_atom_site_fract_x
_atom_site_fract_y
_atom_site_fract_z
_atom_site_occupancy
Nb1 Nb 0.0000 0.0000 0.0000 1
P1 P 0.0000 0.5000 0.0000 1
Pb1 Pb 0.5000 0.5000 0.5000 1
Cl1 Cl 0.0000 0.0000 0.5000 1
# E_tot   -5.379 eV per atom
# Energy relative to the elements, uncorrected   -0.45 eV per formula unit


# NbPPt2Cl (PBE, relaxed)
data_NbPPt2Cl
_cell_length_a 4.5547
_cell_length_b 4.5547
_cell_length_c 4.5613
_cell_angle_alpha 90.00
_cell_angle_beta 90.00
_cell_angle_gamma 90.00
_space_group_name_H-M_alt 'P 4/m m m'
_space_group_IT_number 123
_space_group_name_Hall '-P 4 2'
loop_
_atom_site_label
_atom_site_type_symbol
_atom_site_fract_x
_atom_site_fract_y
_atom_site_fract_z
_atom_site_occupancy
Nb1 Nb 0.0000 0.0000 0.0000 1
P1 P 0.5000 0.5000 0.0000 1
Pt1 Pt 0.0000 0.5000 0.5000 1
Cl1 Cl 0.0000 0.0000 0.5000 1
# E_tot   -4.827 eV per atom
# Energy relative to the elements, uncorrected   5.27 eV per formula unit


# Rb2NbPCl6 (PBE, relaxed)
data_Rb2NbPCl6
_cell_length_a 8.1992
_cell_length_b 8.1992
_cell_length_c 9.6284
_cell_angle_alpha 90.00
_cell_angle_beta 90.00
_cell_angle_gamma 90.00
_space_group_name_H-M_alt 'I 4/m m m'
_space_group_IT_number 139
_space_group_name_Hall '-I 4 2'
loop_
_atom_site_label
_atom_site_type_symbol
_atom_site_fract_x
_atom_site_fract_y
_atom_site_fract_z
_atom_site_occupancy
Rb1 Rb 0.0000 0.5000 0.2500 1
Nb1 Nb 0.0000 0.0000 0.0000 1
P1 P 0.0000 0.0000 0.5000 1
Cl1 Cl 0.0000 0.0000 0.2573 1
Cl2 Cl 0.2131 0.2131 0.0000 1
# E_tot   -3.917 eV per atom
# Energy relative to the elements, uncorrected   -10.68 eV per formula unit


# RbNbPCl2 (PBE, relaxed)
data_RbNbPCl2
_cell_length_a 5.7635
_cell_length_b 5.7635
_cell_length_c 6.0414
_cell_angle_alpha 90.00
_cell_angle_beta 90.00
_cell_angle_gamma 90.00
_space_group_name_H-M_alt 'P 4/m m m'
_space_group_IT_number 123
_space_group_name_Hall '-P 4 2'
loop_
_atom_site_label
_atom_site_type_symbol
_atom_site_fract_x
_atom_site_fract_y
_atom_site_fract_z
_atom_site_occupancy
Rb1 Rb 0.0000 0.0000 0.0000 1
Nb1 Nb 0.5000 0.5000 0.5000 1
P1 P 0.0000 0.0000 0.5000 1
Cl1 Cl 0.0000 0.5000 0.0000 1
# E_tot   -2.978 eV per atom
# Energy relative to the elements, uncorrected   5.25 eV per formula unit


The lowest E_tot belongs to which entry? NbP2PbCl